# 1
## CuNi2Sb (PBE-GGA)

Data for a geometry-optimized CuNi2Sb structure.

Computed properties:
Its crystal system is cubic. For the raw total energy, the calculation gives -0.1809 hartree per atom. The formation energy without anion corrections is 0.02 eV/atom. Its magnetic moment is 0.00 μB/f.u.

a = 4.2521 Å, b = 4.2521 Å, c = 4.2521 Å
α = 60.00°, β = 60.00°, γ = 60.00°
Last column: nearest neighbours and their distance in Å.
Positions (direct):
1 Cu 0.0000 0.0000 0.0000  4 Sb 2.60, 4 Ni 2.60
2 Ni 0.5000 0.5000 0.5000  4 Sb 2.60, 4 Ni 2.60
3 Ni 0.7500 0.7500 0.7500  4 Ni 2.60, 4 Cu 2.60
4 Sb 0.2500 0.2500 0.2500  4 Ni 2.60, 4 Cu 2.60


# 2
## Cu23Ni6Sb (PBE-GGA)

Data for a geometry-optimized Cu23Ni6Sb structure.

Computed properties:
Its crystal system is cubic. For the raw total energy, the calculation gives -0.1595 hartree per atom. The formation energy without anion corrections is 0.09 eV/atom. Its magnetic moment is 0.00 μB/f.u.

a = 8.0654 Å, b = 8.0654 Å, c = 8.0654 Å
α = 60.00°, β = 60.00°, γ = 60.00°
Last column: nearest neighbours and their distance in Å.
Positions (direct):
1 Cu 0.0000 0.0000 0.0000  8 Cu 2.48
2 Cu 0.0000 0.0000 0.5000  8 Cu 2.39-2.47
3 Cu 0.0000 0.5000 0.0000  8 Cu 2.39-2.47
4 Cu 0.0000 0.5000 0.5000  8 Cu 2.39-2.47
5 Cu 0.0832 0.6389 0.6389  3 Cu 2.39, 3 Ni 2.54
6 Cu 0.1255 0.1255 0.1255  7 Cu 2.47-2.70, 3 Ni 2.51
7 Cu 0.1255 0.1255 0.6235  7 Cu 2.47-2.70, 3 Ni 2.51
8 Cu 0.1255 0.6235 0.1255  7 Cu 2.47-2.70, 3 Ni 2.51
9 Cu 0.3611 0.3611 0.3611  3 Cu 2.39, 3 Ni 2.54
10 Cu 0.3611 0.3611 0.9168  3 Cu 2.39, 3 Ni 2.54
11 Cu 0.3611 0.9168 0.3611  3 Cu 2.39, 3 Ni 2.54
12 Cu 0.3765 0.8745 0.8745  7 Cu 2.47-2.70, 3 Ni 2.51
13 Cu 0.5000 0.0000 0.0000  8 Cu 2.39-2.47
14 Cu 0.5000 0.0000 0.5000  8 Cu 2.39-2.47
15 Cu 0.5000 0.5000 0.0000  8 Cu 2.39-2.47
16 Cu 0.6235 0.1255 0.1255  7 Cu 2.47-2.70, 3 Ni 2.51
17 Cu 0.6389 0.0832 0.6389  3 Cu 2.39, 3 Ni 2.54
18 Cu 0.6389 0.6389 0.0832  3 Cu 2.39, 3 Ni 2.54
19 Cu 0.6389 0.6389 0.6389  3 Cu 2.39, 3 Ni 2.54
20 Cu 0.8745 0.3765 0.8745  7 Cu 2.47-2.70, 3 Ni 2.51
21 Cu 0.8745 0.8745 0.3765  7 Cu 2.47-2.70, 3 Ni 2.51
22 Cu 0.8745 0.8745 0.8745  7 Cu 2.47-2.70, 3 Ni 2.51
23 Cu 0.9168 0.3611 0.3611  3 Cu 2.39, 3 Ni 2.54
24 Ni 0.2557 0.2557 0.7443  8 Cu 2.51-2.54, 1 Sb 2.79
25 Ni 0.2557 0.7443 0.2557  8 Cu 2.51-2.54, 1 Sb 2.79
26 Ni 0.2557 0.7443 0.7443  8 Cu 2.51-2.54, 1 Sb 2.79
27 Ni 0.7443 0.2557 0.2557  8 Cu 2.51-2.54, 1 Sb 2.79
28 Ni 0.7443 0.2557 0.7443  8 Cu 2.51-2.54, 1 Sb 2.79
29 Ni 0.7443 0.7443 0.2557  8 Cu 2.51-2.54, 1 Sb 2.79
30 Sb 0.5000 0.5000 0.5000  8 Cu 2.74, 6 Ni 2.79


# 3
## Cu2Ni2Sb (PBE-GGA)

Data for a geometry-optimized Cu2Ni2Sb structure.

Computed properties:
Its crystal system is tetragonal. For the raw total energy, the calculation gives -0.1722 hartree per atom. The formation energy without anion corrections is 0.09 eV/atom. Its magnetic moment is 0.00 μB/f.u.

a = 6.3851 Å, b = 6.3851 Å, c = 3.4483 Å
α = 90.00°, β = 90.00°, γ = 90.00°
Last column: nearest neighbours and their distance in Å.
Positions (direct):
1 Cu 0.1515 0.3485 0.0000  6 Ni 2.52-2.58, 1 Cu 2.74
2 Cu 0.3485 0.8485 0.0000  6 Ni 2.52-2.58, 1 Cu 2.74
3 Cu 0.6515 0.1515 0.0000  6 Ni 2.52-2.58, 1 Cu 2.74
4 Cu 0.8485 0.6515 0.0000  6 Ni 2.52-2.58, 1 Cu 2.74
5 Ni 0.1365 0.6365 0.5000  1 Ni 2.47, 2 Sb 2.48, 6 Cu 2.52-2.58
6 Ni 0.3635 0.1365 0.5000  1 Ni 2.47, 2 Sb 2.48, 6 Cu 2.52-2.58
7 Ni 0.6365 0.8635 0.5000  1 Ni 2.47, 2 Sb 2.48, 6 Cu 2.52-2.58
8 Ni 0.8635 0.3635 0.5000  1 Ni 2.47, 2 Sb 2.48, 6 Cu 2.52-2.58
9 Sb 0.0000 0.0000 0.5000  4 Ni 2.48
10 Sb 0.5000 0.5000 0.5000  4 Ni 2.48


# 4
## Cu2NiSb (PBE-GGA)

Data for a geometry-optimized Cu2NiSb structure.

Computed properties:
Its crystal system is trigonal. For the raw total energy, the calculation gives -0.1502 hartree per atom. The formation energy without anion corrections is 0.44 eV/atom. Its magnetic moment is 0.00 μB/f.u.

a = 8.0376 Å, b = 8.0376 Å, c = 8.0376 Å
α = 21.82°, β = 21.82°, γ = 21.82°
Last column: nearest neighbours and their distance in Å.
Positions (direct):
1 Cu 0.2411 0.2411 0.2411  3 Ni 2.48
2 Cu 0.7589 0.7589 0.7589  3 Ni 2.48
3 Ni 0.5000 0.5000 0.5000  6 Cu 2.48
4 Sb 0.0000 0.0000 0.0000  6 Cu 2.79, 6 Sb 3.04


# 5
## Cu2NiSb (PBE-GGA)

Data for a geometry-optimized Cu2NiSb structure.

Computed properties:
Its crystal system is orthorhombic. For the raw total energy, the calculation gives -0.1639 hartree per atom. The formation energy without anion corrections is 0.07 eV/atom. Its magnetic moment is 0.00 μB/f.u.

a = 3.2106 Å, b = 3.3685 Å, c = 5.3851 Å
α = 90.00°, β = 90.00°, γ = 90.00°
Last column: nearest neighbours and their distance in Å.
Positions (direct):
1 Cu 0.0000 0.0000 0.0000  4 Cu 2.57, 2 Sb 2.64-2.74, 4 Ni 2.71
2 Cu 0.5000 0.5000 0.2041  1 Ni 2.48, 4 Cu 2.57
3 Ni 0.5000 0.5000 0.7433  5 Cu 2.48-2.71, 4 Sb 2.65
4 Sb 0.0000 0.0000 0.5097  6 Cu 2.64-2.85, 4 Ni 2.65


# 6
## CuNiSb2 (PBE-GGA)

Data for a geometry-optimized CuNiSb2 structure.

Computed properties:
Its crystal system is trigonal. For the raw total energy, the calculation gives -0.1721 hartree per atom. The formation energy without anion corrections is -0.15 eV/atom. Its magnetic moment is 0.00 μB/f.u.

a = 4.1070 Å, b = 4.1070 Å, c = 5.1263 Å
α = 90.00°, β = 90.00°, γ = 120.00°
Last column: nearest neighbours and their distance in Å.
Positions (direct):
1 Cu 0.0000 0.0000 0.0000  2 Ni 2.56, 6 Sb 2.76
2 Ni 0.0000 0.0000 0.5000  2 Cu 2.56, 6 Sb 2.64
3 Sb 0.3333 0.6667 0.2737  3 Ni 2.64, 3 Cu 2.76
4 Sb 0.6667 0.3333 0.7263  3 Ni 2.64, 3 Cu 2.76


# 7
## Cu3Ni4Sb (PBE-GGA)

Data for a geometry-optimized Cu3Ni4Sb structure.

Computed properties:
Its crystal system is orthorhombic. For the raw total energy, the calculation gives -0.1834 hartree per atom. The formation energy without anion corrections is -0.05 eV/atom. Its magnetic moment is 0.00 μB/f.u.

a = 8.4451 Å, b = 5.3239 Å, c = 4.3905 Å
α = 90.00°, β = 90.00°, γ = 90.00°
Last column: nearest neighbours and their distance in Å.
Positions (direct):
1 Cu 0.0000 0.0000 0.0000  8 Ni 2.54-2.55, 2 Cu 2.65, 2 Sb 2.66
2 Cu 0.2500 0.0000 0.3645  8 Ni 2.53-2.56, 4 Cu 2.65-2.66
3 Cu 0.2500 0.5000 0.3868  8 Ni 2.49-2.69, 2 Cu 2.66, 2 Sb 2.71
4 Cu 0.5000 0.0000 0.0000  8 Ni 2.54-2.55, 2 Cu 2.65, 2 Sb 2.66
5 Cu 0.7500 0.0000 0.6355  8 Ni 2.53-2.56, 4 Cu 2.65-2.66
6 Cu 0.7500 0.5000 0.6132  8 Ni 2.49-2.69, 2 Cu 2.66, 2 Sb 2.71
7 Ni 0.0000 0.2400 0.5000  6 Cu 2.54-2.57, 4 Ni 2.56-2.77, 2 Sb 2.60
8 Ni 0.0000 0.7600 0.5000  6 Cu 2.54-2.57, 4 Ni 2.56-2.77, 2 Sb 2.60
9 Ni 0.2500 0.2416 0.8603  6 Cu 2.49-2.69, 4 Ni 2.57-2.75, 2 Sb 2.59
10 Ni 0.2500 0.7584 0.8603  6 Cu 2.49-2.69, 4 Ni 2.57-2.75, 2 Sb 2.59
11 Ni 0.5000 0.2400 0.5000  6 Cu 2.54-2.57, 4 Ni 2.56-2.77, 2 Sb 2.60
12 Ni 0.5000 0.7600 0.5000  6 Cu 2.54-2.57, 4 Ni 2.56-2.77, 2 Sb 2.60
13 Ni 0.7500 0.2416 0.1397  6 Cu 2.49-2.69, 4 Ni 2.57-2.75, 2 Sb 2.59
14 Ni 0.7500 0.7584 0.1397  6 Cu 2.49-2.69, 4 Ni 2.57-2.75, 2 Sb 2.59
15 Sb 0.0000 0.5000 0.0000  8 Ni 2.59-2.60, 4 Cu 2.66-2.71
16 Sb 0.5000 0.5000 0.0000  8 Ni 2.59-2.60, 4 Cu 2.66-2.71


# 8
## Cu2Ni2Sb (PBE-GGA)

Data for a geometry-optimized Cu2Ni2Sb structure.

Computed properties:
Its crystal system is tetragonal. For the raw total energy, the calculation gives -0.1701 hartree per atom. The formation energy without anion corrections is 0.15 eV/atom. Its magnetic moment is 0.00 μB/f.u.

a = 6.8624 Å, b = 6.8624 Å, c = 2.9264 Å
α = 90.00°, β = 90.00°, γ = 90.00°
Last column: nearest neighbours and their distance in Å.
Positions (direct):
1 Cu 0.1283 0.3717 0.0000  6 Ni 2.49-2.50, 1 Cu 2.49, 2 Sb 2.70
2 Cu 0.3717 0.8717 0.0000  6 Ni 2.49-2.50, 1 Cu 2.49, 2 Sb 2.70
3 Cu 0.6283 0.1283 0.0000  6 Ni 2.49-2.50, 1 Cu 2.49, 2 Sb 2.70
4 Cu 0.8717 0.6283 0.0000  6 Ni 2.49-2.50, 1 Cu 2.49, 2 Sb 2.70
5 Ni 0.1641 0.6641 0.5000  6 Cu 2.49-2.50
6 Ni 0.3359 0.1641 0.5000  6 Cu 2.49-2.50
7 Ni 0.6641 0.8359 0.5000  6 Cu 2.49-2.50
8 Ni 0.8359 0.3359 0.5000  6 Cu 2.49-2.50
9 Sb 0.0000 0.0000 0.0000  4 Cu 2.70, 2 Sb 2.93, 8 Ni 2.95
10 Sb 0.5000 0.5000 0.0000  4 Cu 2.70, 2 Sb 2.93, 8 Ni 2.95


- magnetic moment of number 7 (Cu3Ni4Sb)?
  0.00 μB/f.u.


- Number 6 is which compound?
  CuNiSb2


- The highest formation energy without anion corrections belongs to which entry?
  number 4